Below is a relaxed structure of CuSn5Pd3, with properties calculated at the PBE level.

Structure (POSCAR):
```
CuSn5Pd3
1.0
-4.783 1.202 2.608
-0.067 -1.655 -5.327
-0.589 -7.226 2.252
Sn Pd Cu
5 3 1
direct
0.667 0.333 0.805
0.667 0.333 0.195
0.000 0.000 0.500
0.333 0.667 0.805
0.333 0.667 0.195
0.000 0.500 0.500
0.500 0.500 0.500
0.500 0.000 0.500
0.000 0.000 0.000
```

Its total DFT energy (no corrections) is -4.46 eV/atom. The calculated density comes out at 7924 kg/m³. As for the symmetry: P6/mmm (191).